[1]
Here is a geometry-optimized LiCoSiO4 structure from Alexandria via LeMat-Bulk. Energies are from GGA+U.

Properties
Polymorph energy (0 for the lowest one), meV per atom: 51
Energy, eV for the cell shown: -183.611

The structure in CIF format:
```
data_LiCoSiO4
_chemical_formula_sum 'Li4 Co4 Si4 O16'
_cell_length_a 9.576
_cell_length_b 4.805
_cell_length_c 8.948
_cell_angle_alpha 90.00
_cell_angle_beta 117.83
_cell_angle_gamma 90.00
_space_group_name_H-M_alt 'C 1 c 1'
_space_group_IT_number 9
_space_group_name_Hall 'C -2yc'
loop_
_atom_site_label
_atom_site_type_symbol
_atom_site_fract_x
_atom_site_fract_y
_atom_site_fract_z
Li1 Li 0.000 0.100 0.000
Co1 Co 0.310 0.149 0.134
Si1 Si 0.155 0.385 0.375
O1 O 0.160 0.279 0.205
O2 O 0.164 0.119 0.494
O3 O 0.312 0.419 0.988
O4 O 0.492 0.065 0.325
```


[2]
Here is a geometry-optimized Li2Co3Si2O8 structure from Alexandria via LeMat-Bulk. Energies are from GGA+U.

Properties
Energy, eV for the cell shown: -294.922

The structure in CIF format:
```
data_Li2Co3Si2O8
_chemical_formula_sum 'Li6 Co9 Si6 O24'
_cell_length_a 4.983
_cell_length_b 8.789
_cell_length_c 13.294
_cell_angle_alpha 108.35
_cell_angle_beta 99.67
_cell_angle_gamma 90.78
_space_group_name_H-M_alt 'P 1'
_space_group_IT_number 1
_space_group_name_Hall 'P 1'
loop_
_atom_site_label
_atom_site_type_symbol
_atom_site_fract_x
_atom_site_fract_y
_atom_site_fract_z
Li1 Li 0.000 0.000 0.000
Li2 Li 0.020 0.685 0.046
Li3 Li 0.095 0.472 0.166
Li4 Li 0.213 0.589 0.398
Li5 Li 0.340 0.709 0.667
Li6 Li 0.879 0.896 0.782
Co1 Co 0.230 0.899 0.347
Co2 Co 0.300 0.288 0.496
Co3 Co 0.464 0.079 0.848
Co4 Co 0.531 0.975 0.147
Co5 Co 0.539 0.491 0.998
Co6 Co 0.614 0.382 0.303
Co7 Co 0.826 0.818 0.494
Co8 Co 0.888 0.569 0.797
Co9 Co 0.898 0.224 0.648
Si1 Si 0.096 0.175 0.246
Si2 Si 0.380 0.005 0.595
Si3 Si 0.445 0.774 0.907
Si4 Si 0.654 0.694 0.246
Si5 Si 0.807 0.515 0.557
Si6 Si 0.992 0.297 0.908
O1 O 0.004 0.372 0.573
O2 O 0.010 0.644 0.532
O3 O 0.046 0.013 0.590
O4 O 0.102 0.116 0.889
O5 O 0.148 0.121 0.356
O6 O 0.161 0.444 0.012
O7 O 0.192 0.725 0.802
O8 O 0.298 0.832 0.014
O9 O 0.391 0.187 0.206
O10 O 0.437 0.866 0.484
O11 O 0.446 0.569 0.270
O12 O 0.474 0.850 0.242
O13 O 0.501 0.181 0.597
O14 O 0.519 0.954 0.699
O15 O 0.544 0.440 0.455
O16 O 0.650 0.627 0.914
O17 O 0.655 0.914 0.900
O18 O 0.673 0.594 0.665
O19 O 0.678 0.283 0.930
O20 O 0.782 0.617 0.137
O21 O 0.904 0.038 0.146
O22 O 0.920 0.754 0.347
O23 O 0.990 0.359 0.275
O24 O 0.999 0.352 0.800
```


[3]
Here is a geometry-optimized Li3Co2Si3O10 structure from Alexandria via LeMat-Bulk. Energies are from GGA+U.

Properties
Energy, eV for the cell shown: -482.936

The structure in CIF format:
```
data_Li3Co2Si3O10
_chemical_formula_sum 'Li12 Co8 Si12 O40'
_cell_length_a 9.308
_cell_length_b 5.498
_cell_length_c 16.913
_cell_angle_alpha 90.00
_cell_angle_beta 97.68
_cell_angle_gamma 90.00
_space_group_name_H-M_alt 'C 1 c 1'
_space_group_IT_number 9
_space_group_name_Hall 'C -2yc'
loop_
_atom_site_label
_atom_site_type_symbol
_atom_site_fract_x
_atom_site_fract_y
_atom_site_fract_z
Li1 Li 0.000 0.095 0.000
Li2 Li 0.059 0.122 0.328
Li3 Li 0.453 0.133 0.268
Co1 Co 0.151 0.413 0.465
Co2 Co 0.347 0.404 0.127
Si1 Si 0.180 0.104 0.649
Si2 Si 0.255 0.390 0.800
Si3 Si 0.320 0.094 0.952
O1 O 0.030 0.029 0.113
O2 O 0.137 0.452 0.340
O3 O 0.152 0.203 0.739
O4 O 0.162 0.046 0.444
O5 O 0.213 0.341 0.596
O6 O 0.312 0.348 0.005
O7 O 0.316 0.088 0.161
O8 O 0.350 0.202 0.863
O9 O 0.377 0.474 0.256
O10 O 0.461 0.070 0.481
```


[4]
Here is a geometry-optimized LiCoSiO4 structure from Alexandria via LeMat-Bulk. Energies are from GGA+U.

Properties
Polymorph energy (0 for the lowest one), meV per atom: 25
Energy, eV for the cell shown: -92.180

The structure in CIF format:
```
data_LiCoSiO4
_chemical_formula_sum 'Li2 Co2 Si2 O8'
_cell_length_a 5.077
_cell_length_b 5.425
_cell_length_c 8.031
_cell_angle_alpha 90.00
_cell_angle_beta 127.96
_cell_angle_gamma 90.00
_space_group_name_H-M_alt 'P 1 c 1'
_space_group_IT_number 7
_space_group_name_Hall 'P -2yc'
loop_
_atom_site_label
_atom_site_type_symbol
_atom_site_fract_x
_atom_site_fract_y
_atom_site_fract_z
Li1 Li 0.000 0.160 0.000
Co1 Co 0.748 0.325 0.248
Si1 Si 0.493 0.175 0.501
O1 O 0.140 0.170 0.469
O2 O 0.414 0.282 0.282
O3 O 0.642 0.107 0.036
O4 O 0.768 0.340 0.714
```


[5]
Here is a geometry-optimized LiCoSiO4 structure from Alexandria via LeMat-Bulk. Energies are from GGA+U.

Properties
Polymorph energy (0 for the lowest one), meV per atom: 21
Energy, eV for the cell shown: -184.463

The structure in CIF format:
```
data_LiCoSiO4
_chemical_formula_sum 'Li4 Co4 Si4 O16'
_cell_length_a 5.093
_cell_length_b 10.341
_cell_length_c 8.345
_cell_angle_alpha 90.00
_cell_angle_beta 127.18
_cell_angle_gamma 90.00
_space_group_name_H-M_alt 'P 1 21/c 1'
_space_group_IT_number 14
_space_group_name_Hall '-P 2ybc'
loop_
_atom_site_label
_atom_site_type_symbol
_atom_site_fract_x
_atom_site_fract_y
_atom_site_fract_z
Li1 Li 0.207 0.153 0.013
Co1 Co 0.296 0.667 0.985
Si1 Si 0.038 0.593 0.231
O1 O 0.017 0.563 0.758
O2 O 0.132 0.663 0.437
O3 O 0.294 0.164 0.464
O4 O 0.345 0.620 0.219
```


[6]
Here is a geometry-optimized LiCoSiO4 structure from Alexandria via LeMat-Bulk. Energies are from GGA+U.

Properties
Polymorph energy (0 for the lowest one), meV per atom: 55
Energy, eV for the cell shown: -183.524

The structure in CIF format:
```
data_LiCoSiO4
_chemical_formula_sum 'Li4 Co4 Si4 O16'
_cell_length_a 5.690
_cell_length_b 5.690
_cell_length_c 8.035
_cell_angle_alpha 90.00
_cell_angle_beta 90.00
_cell_angle_gamma 90.00
_space_group_name_H-M_alt 'P 43 2 2'
_space_group_IT_number 95
_space_group_name_Hall 'P 4cw 2c'
loop_
_atom_site_label
_atom_site_type_symbol
_atom_site_fract_x
_atom_site_fract_y
_atom_site_fract_z
Li1 Li 0.000 0.227 0.000
Co1 Co 0.228 0.500 0.250
Si1 Si 0.257 0.257 0.625
O1 O 0.015 0.260 0.739
O2 O 0.260 0.495 0.500
```


Question: Which formula does entry 4 have?
Answer: LiCoSiO4


Repeat the sixth record exactly.
Here is a geometry-optimized LiCoSiO4 structure from Alexandria via LeMat-Bulk. Energies are from GGA+U.

Properties
Polymorph energy (0 for the lowest one), meV per atom: 55
Energy, eV for the cell shown: -183.524

The structure in CIF format:
```
data_LiCoSiO4
_chemical_formula_sum 'Li4 Co4 Si4 O16'
_cell_length_a 5.690
_cell_length_b 5.690
_cell_length_c 8.035
_cell_angle_alpha 90.00
_cell_angle_beta 90.00
_cell_angle_gamma 90.00
_space_group_name_H-M_alt 'P 43 2 2'
_space_group_IT_number 95
_space_group_name_Hall 'P 4cw 2c'
loop_
_atom_site_label
_atom_site_type_symbol
_atom_site_fract_x
_atom_site_fract_y
_atom_site_fract_z
Li1 Li 0.000 0.227 0.000
Co1 Co 0.228 0.500 0.250
Si1 Si 0.257 0.257 0.625
O1 O 0.015 0.260 0.739
O2 O 0.260 0.495 0.500
```


Question: Which value of energy does entry 6 give?
Answer: -183.524 eV for the cell shown